Below is crystalline NaSr4Rh at its relaxed geometry, with properties calculated at the PBE level.

Unit cell a=8.876 b=8.876 c=6.968 alpha=100.20 beta=100.20 gamma=109.96
Atoms (fractional coordinates):
Na: 0.124 0.876 0.750
Na: 0.876 0.124 0.250
Sr: 0.157 0.317 0.881
Sr: 0.239 0.560 0.450
Sr: 0.317 0.157 0.381
Sr: 0.440 0.761 0.050
Sr: 0.560 0.239 0.950
Sr: 0.683 0.843 0.619
Sr: 0.761 0.440 0.550
Sr: 0.843 0.683 0.119
Rh: 0.500 0.500 0.250
Rh: 0.500 0.500 0.750

Space group: C2/c
VASP energy (eV/f.u.): -16.13
Calculated formation energy (eV per atom): -0.12